TaSiAs GGA-PBE relaxed; distance to the lowest polymorph of the same formula = 0.0000 eV per atom; calculated density = 9.64 g cm⁻³
1.0
-0.536 -2.617 -2.279
-0.110 -2.293 2.658
-7.833 1.076 0.605
As Si Ta
2 2 2
Cartesian
-3.367 -2.037 0.424
-4.792 0.658 0.370
-8.099 -0.233 -0.534
-7.886 -0.070 1.934
-1.987 0.273 0.154
-6.168 -1.652 0.641